Record 1
4
Lattice="7.5509 0.0166 0.0101 6.3575 4.0740 0.0101 6.3575 1.8698 3.6196" Properties=species:S:1:pos:R:3 comment="In2AsSe | the Alexandria database | PBE | relaxed" space_group="R3m (160)" polymorph_energy_ev_per_fu=0.95 pbc="T T T"
As 5.4360 1.5988 0.9763
Se 9.9287 2.9201 1.7833
In 19.8677 5.8433 3.5683
In 15.4325 4.5389 2.7718



Record 2
5
Lattice="-4.6481 0.7989 1.7216 -1.8980 -1.9454 -4.2214 -0.0046 -4.5590 2.1030" Properties=species:S:1:pos:R:3 comment="Bi3NCl | the Alexandria database | PBE | relaxed" space_group="Pm-3m (221)" polymorph_energy_ev_per_fu=0.00 pbc="T T T"
Bi -2.3241 0.3994 0.8608
Bi -0.0023 -2.2795 1.0515
Bi -0.9490 -0.9727 -2.1107
N 0.0000 0.0000 0.0000
Cl -3.2753 -2.8528 -0.1984



Record 3
5
Lattice="6.2990 0.0000 0.0000 0.0000 6.2990 0.0000 0.0000 0.0000 6.1837" Properties=species:S:1:pos:R:3 comment="KBa2SrNi | the Alexandria database | PBE | relaxed" formation_energy_ev_per_atom=0.04 space_group="P4/mmm (123)" pbc="T T T"
K 3.1495 3.1495 3.0918
Ba 0.0000 3.1495 0.0000
Ba 3.1495 0.0000 0.0000
Sr 0.0000 0.0000 3.0918
Ni 0.0000 0.0000 0.0000



Record-wise final energy values, in eV/atom: -3.454; -3.881; -2.445